# CaAcNiO4

A geometry-optimized CaAcNiO4 structure (GGA+U, Alexandria).

abc: 3.870 3.870 6.789
angles: 106.56 106.56 90.00
Each line ends with the local moment (μB).
Fractional positions:
Ac1 0.642 0.642 0.285  -0.01
O1 0.997 0.497 0.994  -0.09
O2 0.171 0.171 0.342  -0.04
O3 0.497 0.997 0.994  -0.09
O4 0.834 0.834 0.669  -0.10
Ni1 0.993 0.993 0.986  1.37
Ca1 0.365 0.365 0.730  0.00

Values from the calculation:
**Raw total energy**: -0.4695 Ry per atom
**DOS at the Fermi energy**: 0.078 states/eV/atom